Compound: AcNdGeIr
Source: Alexandria via LeMat-Bulk
Functional: PBE
Structure: relaxed

Cell lengths 4.4228, 4.4228, 11.5790 Å; angles 90.00, 90.00, 90.00 degrees
Sites, in units of the cell vectors:
1 Ac 0.2500 0.2500 0.1564
2 Ac 0.7500 0.7500 0.8436
3 Nd 0.2500 0.7500 0.5000
4 Nd 0.7500 0.2500 0.5000
5 Ge 0.2500 0.2500 0.6851
6 Ge 0.7500 0.7500 0.3149
7 Ir 0.2500 0.2500 0.8897
8 Ir 0.7500 0.7500 0.1103

Computed properties:
ΔE to the lowest computed polymorph, meV/atom: 198
DFT formation energy, eV/f.u.: -1.1
N(E_F), states/eV/f.u.: 3.92
Space-group type: P4/nmm (129)
Final energy, eV/atom: -5.8552
Volume, Å³ per cell: 226